The following is a GGA-PBE calculation of a geometry-optimized Pm8Ag2Pt structure, from Alexandria.

Geometry as POSCAR:
```
Pm8Ag2Pt
1.0
9.0715 -2.6196 0.0000
9.0715 2.6196 0.0000
-1.4600 0.0000 6.8225
Pm Ag Pt
8 2 1
Direct
0.0256 0.0256 0.2783 Pm
0.2021 0.2021 0.8277 Pm
0.3410 0.3410 0.5278 Pm
0.4112 0.4112 0.0562 Pm
0.5888 0.5888 0.9438 Pm
0.6590 0.6590 0.4722 Pm
0.7979 0.7979 0.1723 Pm
0.9744 0.9744 0.7217 Pm
0.1896 0.1896 0.2433 Ag
0.8104 0.8104 0.7567 Ag
0.5000 0.5000 0.5000 Pt
```

Results
ΔH_f (0 K), eV/atom: -0.28
Space-group type: No. 12


The following is a GGA-PBE calculation of a geometry-optimized Pm2Ag3Pt2 structure, from Alexandria.

Geometry as POSCAR:
```
Pm2Ag3Pt2
1.0
5.0822 -2.0923 0.0000
5.0822 2.0923 0.0000
-0.7853 0.0000 7.1420
Pm Ag Pt
2 3 2
Direct
0.1187 0.1187 0.3374 Pm
0.8813 0.8813 0.6626 Pm
0.1923 0.1923 0.8859 Ag
0.5000 0.5000 0.0000 Ag
0.8077 0.8077 0.1141 Ag
0.4047 0.4047 0.3535 Pt
0.5953 0.5953 0.6465 Pt
```

Results
ΔH_f (0 K), eV/atom: -0.62
Space-group type: No. 12


The following is a GGA-PBE calculation of a geometry-optimized Pm3AgPt structure, from Alexandria.

Geometry as POSCAR:
```
Pm3AgPt
1.0
7.8403 -5.4068 0.0000
7.8403 5.4068 0.0000
-1.4034 0.0000 6.7860
Pm Ag Pt
12 4 4
Direct
0.0190 0.1660 0.4293 Pm
0.1123 0.6228 0.9901 Pm
0.1660 0.0190 0.9293 Pm
0.2244 0.4276 0.4504 Pm
0.3772 0.8877 0.5099 Pm
0.4276 0.2244 0.9504 Pm
0.5724 0.7756 0.0496 Pm
0.6228 0.1123 0.4901 Pm
0.7756 0.5724 0.5496 Pm
0.8340 0.9810 0.0707 Pm
0.8877 0.3772 0.0099 Pm
0.9810 0.8340 0.5707 Pm
0.3247 0.6753 0.7500 Ag
0.4223 0.5777 0.2500 Ag
0.5777 0.4223 0.7500 Ag
0.6753 0.3247 0.2500 Ag
0.1122 0.3372 0.7637 Pt
0.3372 0.1122 0.2637 Pt
0.6628 0.8878 0.7363 Pt
0.8878 0.6628 0.2363 Pt
```

Results
ΔH_f (0 K), eV/atom: -0.47
Distance to the lowest polymorph of the same formula, meV per atom: 66
Space-group type: No. 15


The following is a GGA-PBE calculation of a geometry-optimized Pm6AgPt2 structure, from Alexandria.

Geometry as POSCAR:
```
Pm6AgPt2
1.0
-4.7840 4.9977 5.3194
4.7840 -4.9977 5.3194
4.7840 4.9977 -5.3194
Pm Ag Pt
12 2 4
Direct
0.0396 0.2348 0.8048 Pm
0.1785 0.2866 0.4651 Pm
0.1785 0.7134 0.8919 Pm
0.3295 0.0282 0.6987 Pm
0.3295 0.6308 0.3013 Pm
0.4300 0.2348 0.1952 Pm
0.5700 0.7652 0.8048 Pm
0.6705 0.3692 0.6987 Pm
0.6705 0.9718 0.3013 Pm
0.8215 0.2866 0.1081 Pm
0.8215 0.7134 0.5349 Pm
0.9604 0.7652 0.1952 Pm
0.0000 0.0000 0.0000 Ag
0.5000 0.5000 0.0000 Ag
0.1330 0.6330 0.5000 Pt
0.3420 0.0000 0.3420 Pt
0.6580 0.0000 0.6580 Pt
0.8670 0.3670 0.5000 Pt
```

Results
ΔH_f (0 K), eV/atom: -0.59
Space-group type: No. 71


The following is a GGA-PBE calculation of a geometry-optimized Pm8AgPt2 structure, from Alexandria.

Geometry as POSCAR:
```
Pm8AgPt2
1.0
4.3402 -6.8199 0.0000
4.3402 6.8199 0.0000
-1.5975 0.0000 5.5701
Pm Ag Pt
8 1 2
Direct
0.0000 0.0000 0.0000 Pm
0.0515 0.2995 0.6038 Pm
0.1448 0.6223 0.1866 Pm
0.2995 0.0515 0.6038 Pm
0.4673 0.7153 0.7695 Pm
0.6223 0.1448 0.1866 Pm
0.7153 0.4673 0.7695 Pm
0.7673 0.7673 0.3735 Pm
0.3837 0.3837 0.1818 Ag
0.0835 0.6834 0.6866 Pt
0.6834 0.0835 0.6866 Pt
```

Results
ΔH_f (0 K), eV/atom: -0.38
Distance to the lowest polymorph of the same formula, meV per atom: 92
Space-group type: No. 8


The following is a GGA-PBE calculation of a geometry-optimized Pm12Ag6Pt structure, from Alexandria.

Geometry as POSCAR:
```
Pm12Ag6Pt
1.0
5.9604 3.4412 4.5612
-5.9604 3.4412 4.5612
0.0000 -6.8824 4.5612
Pm Ag Pt
12 6 1
Direct
0.0442 0.6969 0.9464 Pm
0.0536 0.9558 0.3031 Pm
0.1724 0.5234 0.3879 Pm
0.3031 0.0536 0.9558 Pm
0.3879 0.1724 0.5234 Pm
0.4766 0.6121 0.8276 Pm
0.5234 0.3879 0.1724 Pm
0.6121 0.8276 0.4766 Pm
0.6969 0.9464 0.0442 Pm
0.8276 0.4766 0.6121 Pm
0.9464 0.0442 0.6969 Pm
0.9558 0.3031 0.0536 Pm
0.1769 0.3712 0.7665 Ag
0.2335 0.8231 0.6288 Ag
0.3712 0.7665 0.1769 Ag
0.6288 0.2335 0.8231 Ag
0.7665 0.1769 0.3712 Ag
0.8231 0.6288 0.2335 Ag
0.5000 0.5000 0.5000 Pt
```

Results
ΔH_f (0 K), eV/atom: -0.15
Space-group type: No. 148


The following is a GGA-PBE calculation of a geometry-optimized Pm4Ag3Pt structure, from Alexandria.

Geometry as POSCAR:
```
Pm4Ag3Pt
1.0
3.8931 0.0000 0.0000
0.0000 4.8183 0.0000
0.0000 0.0000 11.1081
Pm Ag Pt
4 3 1
Direct
0.0000 0.0000 0.0000 Pm
0.0000 0.5000 0.2636 Pm
0.5000 0.0000 0.4740 Pm
0.5000 0.5000 0.7693 Pm
0.0000 0.0000 0.7042 Ag
0.0000 0.5000 0.5459 Ag
0.5000 0.5000 0.0465 Ag
0.5000 0.0000 0.2099 Pt
```

Results
ΔH_f (0 K), eV/atom: -0.49
Distance to the lowest polymorph of the same formula, meV per atom: 0
Space-group type: No. 25


The following is a GGA-PBE calculation of a geometry-optimized Pm4Ag3Pt structure, from Alexandria.

Geometry as POSCAR:
```
Pm4Ag3Pt
1.0
3.6882 0.0000 0.0000
0.0000 3.6882 0.0000
0.0000 0.0000 14.8206
Pm Ag Pt
4 3 1
Direct
0.0000 0.0000 0.1139 Pm
0.0000 0.0000 0.3717 Pm
0.0000 0.0000 0.6283 Pm
0.0000 0.0000 0.8861 Pm
0.5000 0.5000 0.2467 Ag
0.5000 0.5000 0.5000 Ag
0.5000 0.5000 0.7533 Ag
0.5000 0.5000 0.0000 Pt
```

Results
ΔH_f (0 K), eV/atom: -0.48
Distance to the lowest polymorph of the same formula, meV per atom: 13
Space-group type: No. 123


The following is a GGA-PBE calculation of a geometry-optimized Pm3Ag2Pt3 structure, from Alexandria.

Geometry as POSCAR:
```
Pm3Ag2Pt3
1.0
8.6885 0.0000 0.0000
-4.3442 7.5244 0.0000
0.0000 0.0000 5.8016
Pm Ag Pt
6 4 6
Direct
0.0000 0.3018 0.2500 Pm
0.0000 0.6982 0.7500 Pm
0.3018 0.0000 0.2500 Pm
0.3018 0.3018 0.7500 Pm
0.6982 0.0000 0.7500 Pm
0.6982 0.6982 0.2500 Pm
0.3333 0.6667 0.0000 Ag
0.3333 0.6667 0.5000 Ag
0.6667 0.3333 0.0000 Ag
0.6667 0.3333 0.5000 Ag
0.0000 0.3633 0.7500 Pt
0.0000 0.6367 0.2500 Pt
0.3633 0.0000 0.7500 Pt
0.3633 0.3633 0.2500 Pt
0.6367 0.0000 0.2500 Pt
0.6367 0.6367 0.7500 Pt
```

Results
ΔH_f (0 K), eV/atom: -0.79
Space-group type: No. 193


The following is a GGA-PBE calculation of a geometry-optimized Pm5Ag2Pt2 structure, from Alexandria.

Geometry as POSCAR:
```
Pm5Ag2Pt2
1.0
7.9216 -3.8059 0.0000
7.9216 3.8059 0.0000
0.0000 0.0000 8.0113
Pm Ag Pt
10 4 4
Direct
0.0000 0.0000 0.0000 Pm
0.0410 0.7032 0.6745 Pm
0.2032 0.5410 0.1745 Pm
0.2968 0.9590 0.6745 Pm
0.4590 0.7968 0.1745 Pm
0.5000 0.5000 0.5000 Pm
0.5410 0.2032 0.8255 Pm
0.7032 0.0410 0.3255 Pm
0.7968 0.4590 0.8255 Pm
0.9590 0.2968 0.3255 Pm
0.2107 0.2107 0.0000 Ag
0.2893 0.2893 0.5000 Ag
0.7107 0.7107 0.5000 Ag
0.7893 0.7893 0.0000 Ag
0.1304 0.8696 0.3691 Pt
0.3696 0.6304 0.8691 Pt
0.6304 0.3696 0.1309 Pt
0.8696 0.1304 0.6309 Pt
```

Results
ΔH_f (0 K), eV/atom: -0.63
Space-group type: No. 64


The following is a GGA-PBE calculation of a geometry-optimized PmAgPt4 structure, from Alexandria.

Geometry as POSCAR:
```
PmAgPt4
1.0
0.0000 3.8152 3.8152
3.8152 0.0000 3.8152
3.8152 3.8152 0.0000
Pm Ag Pt
1 1 4
Direct
0.0000 0.0000 0.0000 Pm
0.7500 0.7500 0.7500 Ag
0.3755 0.3755 0.3755 Pt
0.3755 0.3755 0.8735 Pt
0.3755 0.8735 0.3755 Pt
0.8735 0.3755 0.3755 Pt
```

Results
ΔH_f (0 K), eV/atom: -0.71
Space-group type: No. 216


The following is a GGA-PBE calculation of a geometry-optimized Pm2AgPt9 structure, from Alexandria.

Geometry as POSCAR:
```
Pm2AgPt9
1.0
2.7180 1.5692 8.8322
-2.7180 1.5692 8.8322
0.0000 -3.1385 8.8322
Pm Ag Pt
2 1 9
Direct
0.1350 0.1350 0.1350 Pm
0.8650 0.8650 0.8650 Pm
0.0000 0.0000 0.0000 Ag
0.0803 0.5864 0.5864 Pt
0.3325 0.3325 0.3325 Pt
0.4136 0.4136 0.9197 Pt
0.4136 0.9197 0.4136 Pt
0.5000 0.5000 0.5000 Pt
0.5864 0.0803 0.5864 Pt
0.5864 0.5864 0.0803 Pt
0.6675 0.6675 0.6675 Pt
0.9197 0.4136 0.4136 Pt
```

Results
ΔH_f (0 K), eV/atom: -0.59
Space-group type: No. 166


The following is a GGA-PBE calculation of a geometry-optimized Pm5AgPt2 structure, from Alexandria.

Geometry as POSCAR:
```
Pm5AgPt2
1.0
-4.0283 4.0283 6.7331
4.0283 -4.0283 6.7331
4.0283 4.0283 -6.7331
Pm Ag Pt
10 2 4
Direct
0.0000 0.0000 0.0000 Pm
0.0237 0.5237 0.8241 Pm
0.1997 0.0237 0.5000 Pm
0.3003 0.8003 0.8241 Pm
0.4763 0.3003 0.5000 Pm
0.5000 0.5000 0.0000 Pm
0.5237 0.6997 0.5000 Pm
0.6997 0.1997 0.1759 Pm
0.8003 0.9763 0.5000 Pm
0.9763 0.4763 0.1759 Pm
0.2500 0.2500 0.0000 Ag
0.7500 0.7500 0.0000 Ag
0.1331 0.3669 0.5000 Pt
0.3669 0.8669 0.2339 Pt
0.6331 0.1331 0.7661 Pt
0.8669 0.6331 0.5000 Pt
```

Results
ΔH_f (0 K), eV/atom: -0.68
Space-group type: No. 140


The following is a GGA-PBE calculation of a geometry-optimized Pm12AgPt6 structure, from Alexandria.

Geometry as POSCAR:
```
Pm12AgPt6
1.0
6.5681 3.7921 3.9109
-6.5681 3.7921 3.9109
0.0000 -7.5841 3.9109
Pm Ag Pt
12 1 6
Direct
0.0656 0.9283 0.6708 Pm
0.0717 0.3292 0.9344 Pm
0.1763 0.5771 0.4232 Pm
0.3292 0.9344 0.0717 Pm
0.4232 0.1763 0.5771 Pm
0.4229 0.5768 0.8237 Pm
0.5771 0.4232 0.1763 Pm
0.5768 0.8237 0.4229 Pm
0.6708 0.0656 0.9283 Pm
0.8237 0.4229 0.5768 Pm
0.9283 0.6708 0.0656 Pm
0.9344 0.0717 0.3292 Pm
0.0000 0.0000 0.0000 Ag
0.1369 0.3068 0.6130 Pt
0.3068 0.6130 0.1369 Pt
0.3870 0.8631 0.6932 Pt
0.6130 0.1369 0.3068 Pt
0.6932 0.3870 0.8631 Pt
0.8631 0.6932 0.3870 Pt
```

Results
ΔH_f (0 K), eV/atom: -0.68
Space-group type: No. 148


The following is a GGA-PBE calculation of a geometry-optimized Pm2AgPt structure, from Alexandria.

Geometry as POSCAR:
```
Pm2AgPt
1.0
5.9014 0.0000 0.0000
0.0000 4.7074 0.0000
-2.7646 0.0000 7.2608
Pm Ag Pt
4 2 2
Direct
0.2137 0.2500 0.4347 Pm
0.2379 0.2500 0.9234 Pm
0.7621 0.7500 0.0766 Pm
0.7863 0.7500 0.5653 Pm
0.3238 0.7500 0.2089 Ag
0.6762 0.2500 0.7911 Ag
0.3355 0.7500 0.7070 Pt
0.6645 0.2500 0.2930 Pt
```

Results
ΔH_f (0 K), eV/atom: -0.74
Distance to the lowest polymorph of the same formula, meV per atom: 0
Space-group type: No. 11


The following is a GGA-PBE calculation of a geometry-optimized Pm3AgPt structure, from Alexandria.

Geometry as POSCAR:
```
Pm3AgPt
1.0
9.2393 0.0000 0.0000
0.0000 7.6667 0.0000
-2.3183 0.0000 8.0420
Pm Ag Pt
12 4 4
Direct
0.0777 0.0076 0.2176 Pm
0.0777 0.4924 0.7176 Pm
0.3090 0.1489 0.6203 Pm
0.3090 0.3511 0.1203 Pm
0.3616 0.6820 0.5007 Pm
0.3616 0.8180 0.0007 Pm
0.6384 0.1820 0.9993 Pm
0.6384 0.3180 0.4993 Pm
0.6910 0.6489 0.8797 Pm
0.6910 0.8511 0.3797 Pm
0.9223 0.5076 0.2824 Pm
0.9223 0.9924 0.7824 Pm
0.0562 0.6760 0.0299 Ag
0.0562 0.8240 0.5299 Ag
0.9438 0.1760 0.4701 Ag
0.9438 0.3240 0.9701 Ag
0.4077 0.0373 0.3177 Pt
0.4077 0.4627 0.8177 Pt
0.5923 0.5373 0.1823 Pt
0.5923 0.9627 0.6823 Pt
```

Results
ΔH_f (0 K), eV/atom: -0.53
Distance to the lowest polymorph of the same formula, meV per atom: 0
Space-group type: No. 14


The following is a GGA-PBE calculation of a geometry-optimized Pm5AgPt4 structure, from Alexandria.

Geometry as POSCAR:
```
Pm5AgPt4
1.0
3.6093 0.0000 0.0000
0.0000 3.6093 0.0000
0.0000 0.0000 18.1070
Pm Ag Pt
5 1 4
Direct
0.0000 0.0000 0.0000 Pm
0.0000 0.0000 0.1960 Pm
0.0000 0.0000 0.3903 Pm
0.0000 0.0000 0.6097 Pm
0.0000 0.0000 0.8040 Pm
0.5000 0.5000 0.5000 Ag
0.5000 0.5000 0.0982 Pt
0.5000 0.5000 0.2973 Pt
0.5000 0.5000 0.7027 Pt
0.5000 0.5000 0.9018 Pt
```

Results
ΔH_f (0 K), eV/atom: -0.93
Space-group type: No. 123


The following is a GGA-PBE calculation of a geometry-optimized Pm4AgPt3 structure, from Alexandria.

Geometry as POSCAR:
```
Pm4AgPt3
1.0
3.8686 0.0000 0.0000
0.0000 4.6572 0.0000
0.0000 0.0000 10.8957
Pm Ag Pt
4 1 3
Direct
0.0000 0.0000 0.0000 Pm
0.0000 0.5000 0.2651 Pm
0.5000 0.0000 0.4814 Pm
0.5000 0.5000 0.7670 Pm
0.0000 0.0000 0.7093 Ag
0.0000 0.5000 0.5438 Pt
0.5000 0.0000 0.2160 Pt
0.5000 0.5000 0.0384 Pt
```

Results
ΔH_f (0 K), eV/atom: -0.95
Distance to the lowest polymorph of the same formula, meV per atom: 0
Space-group type: No. 25


The following is a GGA-PBE calculation of a geometry-optimized Pm3AgPt2 structure, from Alexandria.

Geometry as POSCAR:
```
Pm3AgPt2
1.0
1.9524 -8.7156 0.0000
1.9524 8.7156 0.0000
0.0000 0.0000 4.5091
Pm Ag Pt
3 1 2
Direct
0.0000 0.0000 0.0000 Pm
0.1619 0.8381 0.5000 Pm
0.8381 0.1619 0.5000 Pm
0.5000 0.5000 0.5000 Ag
0.3697 0.6303 0.0000 Pt
0.6303 0.3697 0.0000 Pt
```

Results
ΔH_f (0 K), eV/atom: -0.67
Distance to the lowest polymorph of the same formula, meV per atom: 154
Space-group type: No. 65


Computed E (eV per atom) in order:
-4.80, -4.93, -5.10, -5.42, -5.19, -4.37, -4.69, -4.68, -5.55, -5.24, -6.00, -6.15, -5.51, -5.74, -5.33, -5.16, -6.00, -5.95, -5.53